[1]
Compound: AcHAu2
Source: the Alexandria database
Functional: PBE-GGA
Structure: optimized geometry

The value obtained for the total energy is -3.05 eV per atom. As for the density of states at the Fermi level: 6.38 states/eV per cell.

The structure belongs to space group R-3m (No. 166, hexagonal axes); the cell edges are 3.7592, 3.7592 and 23.2547 Å and the angles 90.00°, 90.00° and 120.00°. The inequivalent atoms are Ac at (0.0000, 0.0000, 0.0000), H at (0.0000, 0.0000, 0.5000) and Au at (0.0000, 0.0000, 0.1285).


[2]
Compound: Ac4HAu2
Source: the Alexandria database
Functional: PBE-GGA
Structure: optimized geometry

The value obtained for the total energy is -4.22 eV per atom. As for the density of states at the Fermi level: 13.42 states/eV per cell.

The structure belongs to space group I4/mmm (No. 139); the cell edges are 5.1287, 5.1287 and 16.4203 Å and the angles 90.00°, 90.00° and 90.00°. The inequivalent atoms are Ac at (0.0000, 0.0000, 0.1894), Ac at (0.0000, 0.5000, 0.0000), H at (0.0000, 0.0000, 0.0000) and Au at (0.0000, 0.0000, 0.3730).